A plane-wave DFT calculation with meta-GGA SCAN was carried out for a crystal of HfGa3W relaxed with PBEsol.

Unit cell a=4.726 b=4.726 c=4.726 alpha=90.00 beta=90.00 gamma=90.00
Element x y z (fractional)
Hf 0.500 0.500 0.500
Ga 0.000 0.500 0.000
Ga 0.000 0.000 0.500
Ga 0.500 0.000 0.000
W 0.000 0.000 0.000

Its final energy is -177.75 eV for the cell shown. The value obtained for the total magnetization is 0.0000 μB per atom.